This record from Alexandria via LeMat-Bulk describes a geometry-optimized Sm3AlGa structure. The functional is PBE.

a b c (Å): 9.573 9.573 6.858
angles (deg): 90.00 90.00 57.98
Element x y z (fractional)
Sm 0.096 0.712 0.000
Sm 0.186 0.186 0.500
Sm 0.212 0.596 0.500
Sm 0.288 0.904 0.000
Sm 0.314 0.314 0.000
Sm 0.404 0.788 0.500
Sm 0.596 0.212 0.500
Sm 0.686 0.686 0.000
Sm 0.712 0.096 0.000
Sm 0.788 0.404 0.500
Sm 0.814 0.814 0.500
Sm 0.904 0.288 0.000
Al 0.000 0.000 0.313
Al 0.000 0.000 0.687
Al 0.500 0.500 0.187
Al 0.500 0.500 0.813
Ga 0.000 0.500 0.250
Ga 0.000 0.500 0.750
Ga 0.500 0.000 0.250
Ga 0.500 0.000 0.750

Properties
The value obtained for the magnetization is 0.00 μB/f.u. The calculation puts the total energy at -4.54 eV/atom. Its space group is Cmce (64). Its formation energy is -0.36 eV per atom.